# SrHoCd

Crystalline SrHoCd at its relaxed geometry (PBE, the Alexandria database).

a = 5.0410 Å, b = 5.0410 Å, c = 8.2935 Å
α = 90.00°, β = 90.00°, γ = 90.00°
Sites, in units of the cell vectors:
Sr: 0.2500 0.2500 0.1445
Sr: 0.7500 0.7500 0.8555
Ho: 0.2500 0.7500 0.5000
Ho: 0.7500 0.2500 0.5000
Cd: 0.2500 0.2500 0.7279
Cd: 0.7500 0.7500 0.2721

Computed properties:
Offset from the most stable computed form ... 0 meV per atom
Energy ... -2.538 eV per atom
Space group ... P4/nmm (129)
Energy of formation from the pure elements ... -146 meV per atom